DFT (PBE) results for a relaxed Cu2Pd3Au crystal.

Output
- space group = P4/mmm (123)
- calculated volume (Å³/cell) = 88
- calculated total energy (eV/atom) = -4.6051
- total magnetic moment (Bohr magnetons per cell) = 0.00
- energy relative to the elements (eV per formula unit) = -0.58

abc: 2.944 2.944 10.208
angles: 90.00 90.00 90.00
Fractional positions:
1 Cu 0.000 0.000 0.154
2 Cu 0.000 0.000 0.846
3 Pd 0.500 0.500 0.000
4 Pd 0.500 0.500 0.309
5 Pd 0.500 0.500 0.691
6 Au 0.000 0.000 0.500

DFT (PBE) results for a relaxed CuPd6Au12 crystal.

Output
- space group = R-3 (148)
- calculated volume (Å³/cell) = 340
- calculated total energy (eV/atom) = -3.8718
- total magnetic moment (Bohr magnetons per cell) = 0.00
- energy relative to the elements (eV per formula unit) = 1.02

abc: 7.275 7.275 7.275
angles: 104.57 104.57 104.57
Fractional positions:
1 Cu 0.000 0.000 0.000
2 Pd 0.138 0.207 0.411
3 Pd 0.207 0.411 0.138
4 Pd 0.411 0.138 0.207
5 Pd 0.589 0.862 0.793
6 Pd 0.793 0.589 0.862
7 Pd 0.862 0.793 0.589
8 Au 0.040 0.788 0.269
9 Au 0.193 0.620 0.545
10 Au 0.212 0.731 0.960
11 Au 0.269 0.040 0.788
12 Au 0.380 0.455 0.807
13 Au 0.455 0.807 0.380
14 Au 0.545 0.193 0.620
15 Au 0.620 0.545 0.193
16 Au 0.731 0.960 0.212
17 Au 0.788 0.269 0.040
18 Au 0.807 0.380 0.455
19 Au 0.960 0.212 0.731

DFT (PBE) results for a relaxed Cu3Pd2Au6 crystal.

Output
- space group = P-1 (2)
- calculated volume (Å³/cell) = 182
- calculated total energy (eV/atom) = -3.8453
- total magnetic moment (Bohr magnetons per cell) = 0.00
- energy relative to the elements (eV per formula unit) = 0.04

abc: 5.098 5.488 6.777
angles: 78.27 86.01 78.61
Fractional positions:
1 Cu 0.000 0.000 0.000
2 Cu 0.435 0.738 0.508
3 Cu 0.565 0.262 0.492
4 Pd 0.366 0.609 0.168
5 Pd 0.634 0.391 0.832
6 Au 0.078 0.184 0.605
7 Au 0.095 0.609 0.804
8 Au 0.439 0.093 0.181
9 Au 0.561 0.907 0.819
10 Au 0.905 0.391 0.196
11 Au 0.922 0.816 0.395

DFT (PBE) results for a relaxed CuPd3Au crystal.

Output
- space group = P-1 (2)
- calculated volume (Å³/cell) = 154
- calculated total energy (eV/atom) = -4.6597
- total magnetic moment (Bohr magnetons per cell) = 0.00
- energy relative to the elements (eV per formula unit) = -0.35

abc: 4.842 4.859 7.366
angles: 83.44 70.82 69.85
Fractional positions:
1 Cu 0.148 0.250 0.204
2 Cu 0.852 0.750 0.796
3 Pd 0.049 0.750 0.402
4 Pd 0.250 0.750 0.001
5 Pd 0.448 0.750 0.603
6 Pd 0.552 0.250 0.397
7 Pd 0.750 0.250 0.999
8 Pd 0.951 0.250 0.598
9 Au 0.348 0.250 0.804
10 Au 0.652 0.750 0.196

DFT (PBE) results for a relaxed Cu2PdAu2 crystal.

Output
- space group = P4/mbm (127)
- calculated volume (Å³/cell) = 159
- calculated total energy (eV/atom) = -3.9342
- total magnetic moment (Bohr magnetons per cell) = 0.00
- energy relative to the elements (eV per formula unit) = 0.27

abc: 7.407 7.407 2.900
angles: 90.00 90.00 90.00
Fractional positions:
1 Cu 0.162 0.338 0.000
2 Cu 0.338 0.838 0.000
3 Cu 0.662 0.162 0.000
4 Cu 0.838 0.662 0.000
5 Pd 0.000 0.000 0.500
6 Pd 0.500 0.500 0.500
7 Au 0.137 0.637 0.500
8 Au 0.363 0.137 0.500
9 Au 0.637 0.863 0.500
10 Au 0.863 0.363 0.500

DFT (PBE) results for a relaxed Cu2PdAu crystal.

Output
- space group = Fm-3m (225)
- calculated volume (Å³/cell) = 229
- calculated total energy (eV/atom) = -4.2778
- total magnetic moment (Bohr magnetons per cell) = 0.00
- energy relative to the elements (eV per formula unit) = -0.45

abc: 6.119 6.119 6.119
angles: 90.00 90.00 90.00
Fractional positions:
1 Cu 0.250 0.250 0.250
2 Cu 0.250 0.250 0.750
3 Cu 0.250 0.750 0.250
4 Cu 0.250 0.750 0.750
5 Cu 0.750 0.250 0.250
6 Cu 0.750 0.250 0.750
7 Cu 0.750 0.750 0.250
8 Cu 0.750 0.750 0.750
9 Pd 0.000 0.000 0.000
10 Pd 0.000 0.500 0.500
11 Pd 0.500 0.000 0.500
12 Pd 0.500 0.500 0.000
13 Au 0.000 0.000 0.500
14 Au 0.000 0.500 0.000
15 Au 0.500 0.000 0.000
16 Au 0.500 0.500 0.500

DFT (PBE) results for a relaxed CuPd6Au2 crystal.

Output
- space group = C2/m (12)
- calculated volume (Å³/cell) = 141
- calculated total energy (eV/atom) = -4.6999
- total magnetic moment (Bohr magnetons per cell) = 0.00
- energy relative to the elements (eV per formula unit) = -0.49

abc: 4.890 4.890 8.460
angles: 107.56 107.56 47.69
Fractional positions:
1 Cu 0.000 0.000 0.000
2 Pd 0.006 0.006 0.680
3 Pd 0.328 0.328 0.105
4 Pd 0.344 0.344 0.789
5 Pd 0.656 0.656 0.211
6 Pd 0.672 0.672 0.895
7 Pd 0.994 0.994 0.320
8 Au 0.332 0.332 0.442
9 Au 0.668 0.668 0.558

DFT (PBE) results for a relaxed Cu3Pd8Au2 crystal.

Output
- space group = P2/m (10)
- calculated volume (Å³/cell) = 210
- calculated total energy (eV/atom) = -4.5993
- total magnetic moment (Bohr magnetons per cell) = 0.00
- energy relative to the elements (eV per formula unit) = 0.60

abc: 9.026 2.749 9.080
angles: 90.00 111.46 90.00
Fractional positions:
1 Cu 0.000 0.000 0.000
2 Cu 0.053 0.500 0.270
3 Cu 0.947 0.500 0.730
4 Pd 0.159 0.500 0.582
5 Pd 0.212 0.000 0.863
6 Pd 0.262 0.500 0.133
7 Pd 0.326 0.000 0.415
8 Pd 0.674 0.000 0.585
9 Pd 0.738 0.500 0.867
10 Pd 0.788 0.000 0.137
11 Pd 0.841 0.500 0.418
12 Au 0.452 0.000 0.745
13 Au 0.548 0.000 0.255